Compound: Sc3TiPt12
Source: the Alexandria database
Functional: GGA-PBE
Structure: optimized geometry

Computed properties:
Energy relative to the elements, kJ/mol of atoms: -99.01
DOS at the Fermi energy, states/eV/cell: 13.104

Unit cell a=3.989 b=3.989 c=15.987 alpha=90.00 beta=90.00 gamma=90.00
Positions (direct):
Sc (0.000, 0.000, 0.250)
Sc (0.000, 0.000, 0.500)
Sc (0.000, 0.000, 0.750)
Ti (0.000, 0.000, 0.000)
Pt (0.500, 0.500, 0.000)
Pt (0.500, 0.500, 0.247)
Pt (0.500, 0.500, 0.500)
Pt (0.500, 0.500, 0.753)
Pt (0.500, 0.000, 0.120)
Pt (0.500, 0.000, 0.374)
Pt (0.500, 0.000, 0.626)
Pt (0.500, 0.000, 0.880)
Pt (0.000, 0.500, 0.120)
Pt (0.000, 0.500, 0.374)
Pt (0.000, 0.500, 0.626)
Pt (0.000, 0.500, 0.880)